First-principles (GGA-PBE) data for a relaxed Th2AsPb crystal, as listed in Alexandria. Values from VASP.

## Properties
crystal system: trigonal
SG: No. 166
E above lowest polymorph: 0.000 eV/atom

Quantum ESPRESSO input file:
```
&SYSTEM
  ibrav = 0, nat = 12, ntyp = 3
/
ATOMIC_SPECIES
Th 232.04 Th.upf
As 74.92 As.upf
Pb 207.20 Pb.upf
CELL_PARAMETERS angstrom
4.409 0.000 0.000
-2.204 3.818 0.000
0.000 0.000 21.751
ATOMIC_POSITIONS angstrom
Th 0.000 0.000 5.280
Th 0.000 0.000 16.471
Th 0.000 2.545 9.221
Th 0.000 2.545 19.781
Th 2.204 1.273 1.970
Th 2.204 1.273 12.530
As 0.000 0.000 10.876
As 0.000 2.545 3.625
As 2.204 1.273 18.126
Pb 0.000 0.000 0.000
Pb 0.000 2.545 14.501
Pb 2.204 1.273 7.250
```

First-principles (GGA-PBE) data for a relaxed TiAsPb3 crystal, as listed in Alexandria. Values from VASP.

## Properties
crystal system: cubic
SG: No. 221
E above lowest polymorph: 0.389 eV/atom

Quantum ESPRESSO input file:
```
&SYSTEM
  ibrav = 0, nat = 5, ntyp = 3
/
ATOMIC_SPECIES
Ti 47.87 Ti.upf
As 74.92 As.upf
Pb 207.20 Pb.upf
CELL_PARAMETERS angstrom
5.516 0.000 0.000
0.000 5.516 0.000
0.000 0.000 5.516
ATOMIC_POSITIONS angstrom
Ti 0.000 0.000 0.000
As 2.758 2.758 2.758
Pb 0.000 2.758 2.758
Pb 2.758 0.000 2.758
Pb 2.758 2.758 0.000
```

First-principles (GGA-PBE) data for a relaxed TiAsPb crystal, as listed in Alexandria. Values from VASP.

## Properties
crystal system: tetragonal
SG: No. 129
total DFT energy (no corrections): -34.614 eV for the cell shown

Quantum ESPRESSO input file:
```
&SYSTEM
  ibrav = 0, nat = 6, ntyp = 3
/
ATOMIC_SPECIES
Ti 47.87 Ti.upf
As 74.92 As.upf
Pb 207.20 Pb.upf
CELL_PARAMETERS angstrom
4.117 0.000 0.000
0.000 4.117 0.000
0.000 0.000 8.602
ATOMIC_POSITIONS angstrom
Ti 1.029 3.088 0.000
Ti 3.088 1.029 0.000
As 1.029 1.029 1.686
As 3.088 3.088 6.915
Pb 1.029 1.029 5.946
Pb 3.088 3.088 2.656
```

First-principles (GGA-PBE) data for a relaxed TiAs3Pb crystal, as listed in Alexandria. Values from VASP.

## Properties
crystal system: cubic
SG: No. 221
E above lowest polymorph: 0.000 eV/atom

Quantum ESPRESSO input file:
```
&SYSTEM
  ibrav = 0, nat = 5, ntyp = 3
/
ATOMIC_SPECIES
Ti 47.87 Ti.upf
As 74.92 As.upf
Pb 207.20 Pb.upf
CELL_PARAMETERS angstrom
4.957 0.000 0.000
0.000 4.957 0.000
0.000 0.000 4.957
ATOMIC_POSITIONS angstrom
Ti 0.000 0.000 0.000
As 0.000 0.000 2.478
As 0.000 2.478 0.000
As 2.478 0.000 0.000
Pb 2.478 2.478 2.478
```

First-principles (GGA-PBE) data for a relaxed TiAs2Pb crystal, as listed in Alexandria. Values from VASP.

## Properties
crystal system: trigonal
SG: No. 160
total DFT energy (no corrections): -66.788 eV for the cell shown

Quantum ESPRESSO input file:
```
&SYSTEM
  ibrav = 0, nat = 12, ntyp = 3
/
ATOMIC_SPECIES
Ti 47.87 Ti.upf
As 74.92 As.upf
Pb 207.20 Pb.upf
CELL_PARAMETERS angstrom
3.758 0.000 0.000
-1.879 3.255 0.000
0.000 0.000 22.190
ATOMIC_POSITIONS angstrom
Ti 0.000 0.000 0.000
Ti 0.000 2.170 14.793
Ti 1.879 1.085 7.397
As 0.000 0.000 8.810
As 0.000 0.000 13.269
As 0.000 2.170 1.414
As 0.000 2.170 5.873
As 1.879 1.085 16.207
As 1.879 1.085 20.666
Pb 0.000 0.000 18.550
Pb 0.000 2.170 11.153
Pb 1.879 1.085 3.757
```

First-principles (GGA-PBE) data for a relaxed Ti2AsPb crystal, as listed in Alexandria. Values from VASP.

## Properties
crystal system: trigonal
SG: No. 160
E above lowest polymorph: 0.000 eV/atom

Quantum ESPRESSO input file:
```
&SYSTEM
  ibrav = 0, nat = 12, ntyp = 3
/
ATOMIC_SPECIES
Ti 47.87 Ti.upf
As 74.92 As.upf
Pb 207.20 Pb.upf
CELL_PARAMETERS angstrom
3.554 0.000 0.000
-1.777 3.078 0.000
0.000 0.000 21.964
ATOMIC_POSITIONS angstrom
Ti 0.000 0.000 0.000
Ti 0.000 0.000 4.423
Ti 0.000 2.052 14.643
Ti 0.000 2.052 19.066
Ti 1.777 1.026 7.321
Ti 1.777 1.026 11.744
As 0.000 0.000 13.202
As 0.000 2.052 5.881
As 1.777 1.026 20.524
Pb 0.000 0.000 9.507
Pb 0.000 2.052 2.185
Pb 1.777 1.026 16.828
```

First-principles (GGA-PBE) data for a relaxed TiAs2Pb crystal, as listed in Alexandria. Values from VASP.

## Properties
crystal system: trigonal
SG: No. 166
total DFT energy (no corrections): -66.976 eV for the cell shown

Quantum ESPRESSO input file:
```
&SYSTEM
  ibrav = 0, nat = 12, ntyp = 3
/
ATOMIC_SPECIES
Ti 47.87 Ti.upf
As 74.92 As.upf
Pb 207.20 Pb.upf
CELL_PARAMETERS angstrom
3.834 0.000 0.000
-1.917 3.321 0.000
0.000 0.000 21.151
ATOMIC_POSITIONS angstrom
Ti 0.000 0.000 0.000
Ti 0.000 2.214 14.101
Ti 1.917 1.107 7.050
As 0.000 0.000 5.603
As 0.000 0.000 15.548
As 0.000 2.214 8.498
As 0.000 2.214 19.704
As 1.917 1.107 1.447
As 1.917 1.107 12.653
Pb 0.000 0.000 10.576
Pb 0.000 2.214 3.525
Pb 1.917 1.107 17.626
```

First-principles (GGA-PBE) data for a relaxed Ti2AsPb crystal, as listed in Alexandria. Values from VASP.

## Properties
crystal system: tetragonal
SG: No. 122
E above lowest polymorph: 0.745 eV/atom

Quantum ESPRESSO input file:
```
&SYSTEM
  ibrav = 0, nat = 16, ntyp = 3
/
ATOMIC_SPECIES
Ti 47.87 Ti.upf
As 74.92 As.upf
Pb 207.20 Pb.upf
CELL_PARAMETERS angstrom
6.064 0.000 0.000
0.000 6.064 0.000
0.000 0.000 12.114
ATOMIC_POSITIONS angstrom
Ti 1.272 1.516 1.514
Ti 1.516 4.304 4.543
Ti 1.516 4.791 10.600
Ti 1.760 1.516 7.571
Ti 4.304 4.548 7.571
Ti 4.548 1.272 10.600
Ti 4.548 1.760 4.543
Ti 4.791 4.548 1.514
As 0.000 0.000 0.000
As 0.000 3.032 3.028
As 3.032 0.000 9.085
As 3.032 3.032 6.057
Pb 0.000 0.000 6.057
Pb 0.000 3.032 9.085
Pb 3.032 0.000 3.028
Pb 3.032 3.032 0.000
```

First-principles (GGA-PBE) data for a relaxed Ti2AsPb crystal, as listed in Alexandria. Values from VASP.

## Properties
crystal system: cubic
SG: No. 225
E above lowest polymorph: 0.371 eV/atom

Quantum ESPRESSO input file:
```
&SYSTEM
  ibrav = 0, nat = 16, ntyp = 3
/
ATOMIC_SPECIES
Ti 47.87 Ti.upf
As 74.92 As.upf
Pb 207.20 Pb.upf
CELL_PARAMETERS angstrom
6.708 0.000 0.000
0.000 6.708 0.000
0.000 0.000 6.708
ATOMIC_POSITIONS angstrom
Ti 1.677 1.677 1.677
Ti 1.677 1.677 5.031
Ti 1.677 5.031 1.677
Ti 1.677 5.031 5.031
Ti 5.031 1.677 1.677
Ti 5.031 1.677 5.031
Ti 5.031 5.031 1.677
Ti 5.031 5.031 5.031
As 0.000 0.000 0.000
As 0.000 3.354 3.354
As 3.354 0.000 3.354
As 3.354 3.354 0.000
Pb 0.000 0.000 3.354
Pb 0.000 3.354 0.000
Pb 3.354 0.000 0.000
Pb 3.354 3.354 3.354
```

First-principles (GGA-PBE) data for a relaxed Ti6AsPb2 crystal, as listed in Alexandria. Values from VASP.

## Properties
crystal system: hexagonal
SG: No. 189
total DFT energy (no corrections): -62.421 eV for the cell shown

Quantum ESPRESSO input file:
```
&SYSTEM
  ibrav = 0, nat = 9, ntyp = 3
/
ATOMIC_SPECIES
Ti 47.87 Ti.upf
As 74.92 As.upf
Pb 207.20 Pb.upf
CELL_PARAMETERS angstrom
7.333 0.000 0.000
-3.667 6.351 0.000
0.000 0.000 3.606
ATOMIC_POSITIONS angstrom
Ti -1.355 2.347 0.000
Ti -2.780 4.815 1.803
Ti 0.887 1.536 1.803
Ti 2.710 0.000 0.000
Ti 2.311 4.004 0.000
Ti 5.560 0.000 1.803
As 0.000 0.000 0.000
Pb 0.000 4.234 1.803
Pb 3.667 2.117 1.803
```

First-principles (GGA-PBE) data for a relaxed TiAs2Pb2 crystal, as listed in Alexandria. Values from VASP.

## Properties
crystal system: tetragonal
SG: No. 127
total DFT energy (no corrections): -49.957 eV for the cell shown

Quantum ESPRESSO input file:
```
&SYSTEM
  ibrav = 0, nat = 10, ntyp = 3
/
ATOMIC_SPECIES
Ti 47.87 Ti.upf
As 74.92 As.upf
Pb 207.20 Pb.upf
CELL_PARAMETERS angstrom
6.925 0.000 0.000
0.000 6.925 0.000
0.000 0.000 5.004
ATOMIC_POSITIONS angstrom
Ti 0.000 0.000 0.000
Ti 3.462 3.462 0.000
As 1.077 2.386 0.000
As 2.386 5.848 0.000
As 4.539 1.077 0.000
As 5.848 4.539 0.000
Pb 1.191 4.653 2.502
Pb 2.271 1.191 2.502
Pb 4.653 5.734 2.502
Pb 5.734 2.271 2.502
```

First-principles (GGA-PBE) data for a relaxed Ti2AsPb crystal, as listed in Alexandria. Values from VASP.

## Properties
crystal system: trigonal
SG: No. 166
E above lowest polymorph: 0.031 eV/atom

Quantum ESPRESSO input file:
```
&SYSTEM
  ibrav = 0, nat = 12, ntyp = 3
/
ATOMIC_SPECIES
Ti 47.87 Ti.upf
As 74.92 As.upf
Pb 207.20 Pb.upf
CELL_PARAMETERS angstrom
3.626 0.000 0.000
-1.813 3.140 0.000
0.000 0.000 21.276
ATOMIC_POSITIONS angstrom
Ti 0.000 0.000 4.932
Ti 0.000 0.000 16.344
Ti 0.000 2.093 9.252
Ti 0.000 2.093 19.116
Ti 1.813 1.047 2.160
Ti 1.813 1.047 12.024
As 0.000 0.000 10.638
As 0.000 2.093 3.546
As 1.813 1.047 17.730
Pb 0.000 0.000 0.000
Pb 0.000 2.093 14.184
Pb 1.813 1.047 7.092
```